# RbBa2TcN, relaxed, DFT GGA-PBE
data_RbBa2TcN
_space_group_name_H-M_alt 'P 4/m m m'
_space_group_IT_number 123
_space_group_name_Hall '-P 4 2'
_cell_length_a 6.3754
_cell_length_b 6.3754
_cell_length_c 4.7684
_cell_angle_alpha 90.00
_cell_angle_beta 90.00
_cell_angle_gamma 90.00
loop_
_atom_site_label
_atom_site_type_symbol
_atom_site_fract_x
_atom_site_fract_y
_atom_site_fract_z
_atom_site_occupancy
Rb1 Rb 0.0000 0.0000 0.0000 1
Ba1 Ba 0.0000 0.5000 0.0000 1
Tc1 Tc 0.0000 0.0000 0.5000 1
N1 N 0.5000 0.5000 0.5000 1
# * uncorrected formation energy: 2.20 eV/atom

=====

# BaCuAu4, relaxed, DFT GGA-PBE
data_BaCuAu4
_space_group_name_H-M_alt 'F -4 3 m'
_space_group_IT_number 216
_space_group_name_Hall 'F -4 2 3'
_cell_length_a 8.0804
_cell_length_b 8.0804
_cell_length_c 8.0804
_cell_angle_alpha 90.00
_cell_angle_beta 90.00
_cell_angle_gamma 90.00
loop_
_atom_site_label
_atom_site_type_symbol
_atom_site_fract_x
_atom_site_fract_y
_atom_site_fract_z
_atom_site_occupancy
Ba1 Ba 0.0000 0.0000 0.0000 1
Cu1 Cu 0.2500 0.2500 0.7500 1
Au1 Au 0.1240 0.1240 0.3760 1
# * formation energy: -0.209 eV/atom

=====

# La4YP5, relaxed, DFT GGA-PBE
data_La4YP5
_space_group_name_H-M_alt 'I 4/m'
_space_group_IT_number 87
_space_group_name_Hall '-I 4'
_cell_length_a 9.4468
_cell_length_b 9.4468
_cell_length_c 5.9842
_cell_angle_alpha 90.00
_cell_angle_beta 90.00
_cell_angle_gamma 90.00
loop_
_atom_site_label
_atom_site_type_symbol
_atom_site_fract_x
_atom_site_fract_y
_atom_site_fract_z
_atom_site_occupancy
La1 La 0.0986 0.2990 0.0000 1
Y1 Y 0.0000 0.0000 0.5000 1
P1 P 0.0000 0.0000 0.0000 1
P2 P 0.0974 0.2929 0.5000 1
# * formation energy: -1.572 eV/atom

=====

# DyZrTiIn, relaxed, DFT GGA-PBE
data_DyZrTiIn
_space_group_name_H-M_alt 'F -4 3 m'
_space_group_IT_number 216
_space_group_name_Hall 'F -4 2 3'
_cell_length_a 7.2137
_cell_length_b 7.2137
_cell_length_c 7.2137
_cell_angle_alpha 90.00
_cell_angle_beta 90.00
_cell_angle_gamma 90.00
loop_
_atom_site_label
_atom_site_type_symbol
_atom_site_fract_x
_atom_site_fract_y
_atom_site_fract_z
_atom_site_occupancy
Dy1 Dy 0.0000 0.0000 0.0000 1
Zr1 Zr 0.0000 0.0000 0.5000 1
Ti1 Ti 0.2500 0.2500 0.7500 1
In1 In 0.2500 0.2500 0.2500 1
# * formation energy: -0.055 eV/atom

=====

# Li2HPdAu, relaxed, DFT GGA-PBE
data_Li2HPdAu
_space_group_name_H-M_alt 'P 4/m m m'
_space_group_IT_number 123
_space_group_name_Hall '-P 4 2'
_cell_length_a 4.0383
_cell_length_b 4.0383
_cell_length_c 3.7476
_cell_angle_alpha 90.00
_cell_angle_beta 90.00
_cell_angle_gamma 90.00
loop_
_atom_site_label
_atom_site_type_symbol
_atom_site_fract_x
_atom_site_fract_y
_atom_site_fract_z
_atom_site_occupancy
Li1 Li 0.0000 0.5000 0.0000 1
H1 H 0.0000 0.0000 0.0000 1
Pd1 Pd 0.5000 0.5000 0.5000 1
Au1 Au 0.0000 0.0000 0.5000 1
# * uncorrected energy: -3.496 eV/atom

=====

# VCuB3, relaxed, DFT GGA-PBE
data_VCuB3
_space_group_name_H-M_alt 'P m -3 m'
_space_group_IT_number 221
_space_group_name_Hall '-P 4 2 3'
_cell_length_a 3.7565
_cell_length_b 3.7565
_cell_length_c 3.7565
_cell_angle_alpha 90.00
_cell_angle_beta 90.00
_cell_angle_gamma 90.00
loop_
_atom_site_label
_atom_site_type_symbol
_atom_site_fract_x
_atom_site_fract_y
_atom_site_fract_z
_atom_site_occupancy
V1 V 0.0000 0.0000 0.0000 1
Cu1 Cu 0.5000 0.5000 0.5000 1
B1 B 0.0000 0.5000 0.5000 1
# * formation energy: 1.430 eV/atom

=====

# Na3Pu2ZrTe6, relaxed, DFT GGA-PBE
data_Na3Pu2ZrTe6
_space_group_name_H-M_alt 'C 1 2/m 1'
_space_group_IT_number 12
_cell_length_a 7.5966
_cell_length_b 13.1644
_cell_length_c 7.9723
_cell_angle_alpha 90.00
_cell_angle_beta 108.60
_cell_angle_gamma 90.00
loop_
_space_group_symop_operation_xyz
'x,y,z'
'-x,-y,-z'
'-x,y,-z'
'x,-y,z'
'x+1/2,y+1/2,z'
'-x+1/2,-y+1/2,-z'
'-x+1/2,y+1/2,-z'
'x+1/2,-y+1/2,z'
loop_
_atom_site_label
_atom_site_type_symbol
_atom_site_fract_x
_atom_site_fract_y
_atom_site_fract_z
_atom_site_occupancy
Na1 Na 0.0000 0.0000 0.0000 1
Na2 Na 0.0000 0.3288 0.0000 1
Pu1 Pu 0.0000 0.1663 0.5000 1
Zr1 Zr 0.0000 0.5000 0.5000 1
Te1 Te 0.2358 0.3413 0.7314 1
Te2 Te 0.2393 0.5000 0.2686 1
# * uncorrected formation energy: -1.00 eV/atom

=====

# LiMnTc3, relaxed, DFT GGA-PBE
data_LiMnTc3
_space_group_name_H-M_alt 'P m -3 m'
_space_group_IT_number 221
_space_group_name_Hall '-P 4 2 3'
_cell_length_a 4.4445
_cell_length_b 4.4445
_cell_length_c 4.4445
_cell_angle_alpha 90.00
_cell_angle_beta 90.00
_cell_angle_gamma 90.00
loop_
_atom_site_label
_atom_site_type_symbol
_atom_site_fract_x
_atom_site_fract_y
_atom_site_fract_z
_atom_site_occupancy
Li1 Li 0.0000 0.0000 0.0000 1
Mn1 Mn 0.5000 0.5000 0.5000 1
Tc1 Tc 0.0000 0.5000 0.5000 1
# * formation energy: 1.163 eV/atom

=====

# K2ZnCo, relaxed, DFT GGA-PBE
data_K2ZnCo
_space_group_name_H-M_alt 'C 1 m 1'
_space_group_IT_number 8
_cell_length_a 7.3670
_cell_length_b 4.2550
_cell_length_c 9.3673
_cell_angle_alpha 90.00
_cell_angle_beta 103.85
_cell_angle_gamma 90.00
loop_
_space_group_symop_operation_xyz
'x,y,z'
'x,-y,z'
'x+1/2,y+1/2,z'
'x+1/2,-y+1/2,z'
loop_
_atom_site_label
_atom_site_type_symbol
_atom_site_fract_x
_atom_site_fract_y
_atom_site_fract_z
_atom_site_occupancy
K1 K 0.0000 0.0000 0.0000 1
K2 K 0.1617 0.0000 0.5262 1
Zn1 Zn 0.2475 0.5000 0.2627 1
Co1 Co 0.4141 0.0000 0.2627 1
# * formation energy: 0.457 eV/atom

=====

# Be2IrO, relaxed, DFT GGA-PBE
data_Be2IrO
_space_group_name_H-M_alt 'I -4 2 d'
_space_group_IT_number 122
_space_group_name_Hall 'I -4 2bw'
_cell_length_a 4.9346
_cell_length_b 4.9346
_cell_length_c 6.6982
_cell_angle_alpha 90.00
_cell_angle_beta 90.00
_cell_angle_gamma 90.00
loop_
_atom_site_label
_atom_site_type_symbol
_atom_site_fract_x
_atom_site_fract_y
_atom_site_fract_z
_atom_site_occupancy
Be1 Be 0.1314 0.2500 0.1250 1
Ir1 Ir 0.0000 0.0000 0.5000 1
O1 O 0.0000 0.0000 0.0000 1
# * uncorrected formation energy: -0.85 eV/atom

=====

# Dy6HgPd5, relaxed, DFT GGA-PBE
data_Dy6HgPd5
_space_group_name_H-M_alt 'C 1 2/m 1'
_space_group_IT_number 12
_cell_length_a 7.2992
_cell_length_b 11.5864
_cell_length_c 7.2259
_cell_angle_alpha 90.00
_cell_angle_beta 105.80
_cell_angle_gamma 90.00
loop_
_space_group_symop_operation_xyz
'x,y,z'
'-x,-y,-z'
'-x,y,-z'
'x,-y,z'
'x+1/2,y+1/2,z'
'-x+1/2,-y+1/2,-z'
'-x+1/2,y+1/2,-z'
'x+1/2,-y+1/2,z'
loop_
_atom_site_label
_atom_site_type_symbol
_atom_site_fract_x
_atom_site_fract_y
_atom_site_fract_z
_atom_site_occupancy
Dy1 Dy 0.2025 0.0000 0.2202 1
Dy2 Dy 0.2216 0.1788 0.7199 1
Hg1 Hg 0.0000 0.5000 0.0000 1
Pd1 Pd 0.0000 0.0000 0.5000 1
Pd2 Pd 0.0000 0.1906 0.0000 1
Pd3 Pd 0.0000 0.3696 0.5000 1
# * formation energy: -0.690 eV/atom

=====

# Sm4NiPb, relaxed, DFT GGA-PBE
data_Sm4NiPb
_space_group_name_H-M_alt 'P 1 21/m 1'
_space_group_IT_number 11
_cell_length_a 5.8280
_cell_length_b 6.9833
_cell_length_c 8.6702
_cell_angle_alpha 90.00
_cell_angle_beta 102.12
_cell_angle_gamma 90.00
loop_
_space_group_symop_operation_xyz
'x,y,z'
'-x,-y,-z'
'-x,y+1/2,-z'
'x,-y+1/2,z'
loop_
_atom_site_label
_atom_site_type_symbol
_atom_site_fract_x
_atom_site_fract_y
_atom_site_fract_z
_atom_site_occupancy
Sm1 Sm 0.1193 0.2500 0.0564 1
Sm2 Sm 0.2089 0.7500 0.3667 1
Sm3 Sm 0.3506 0.5057 0.7824 1
Ni1 Ni 0.3435 0.7500 0.0515 1
Pb1 Pb 0.2261 0.2500 0.4322 1
# * formation energy: -0.312 eV/atom

=====

# Rb3PW, relaxed, DFT GGA-PBE
data_Rb3PW
_space_group_name_H-M_alt 'P m -3 m'
_space_group_IT_number 221
_space_group_name_Hall '-P 4 2 3'
_cell_length_a 6.4879
_cell_length_b 6.4879
_cell_length_c 6.4879
_cell_angle_alpha 90.00
_cell_angle_beta 90.00
_cell_angle_gamma 90.00
loop_
_atom_site_label
_atom_site_type_symbol
_atom_site_fract_x
_atom_site_fract_y
_atom_site_fract_z
_atom_site_occupancy
Rb1 Rb 0.0000 0.0000 0.5000 1
P1 P 0.0000 0.0000 0.0000 1
W1 W 0.5000 0.5000 0.5000 1
# * formation energy: 1.338 eV/atom

=====

# LaIrI2N, relaxed, DFT GGA-PBE
data_LaIrI2N
_space_group_name_H-M_alt 'P 4/m m m'
_space_group_IT_number 123
_space_group_name_Hall '-P 4 2'
_cell_length_a 5.8162
_cell_length_b 5.8162
_cell_length_c 3.7622
_cell_angle_alpha 90.00
_cell_angle_beta 90.00
_cell_angle_gamma 90.00
loop_
_atom_site_label
_atom_site_type_symbol
_atom_site_fract_x
_atom_site_fract_y
_atom_site_fract_z
_atom_site_occupancy
La1 La 0.0000 0.0000 0.0000 1
Ir1 Ir 0.5000 0.5000 0.5000 1
I1 I 0.0000 0.5000 0.5000 1
N1 N 0.5000 0.5000 0.0000 1
# * uncorrected formation energy: -0.15 eV/atom

=====

# LaP2WCl, relaxed, DFT GGA-PBE
data_LaP2WCl
_space_group_name_H-M_alt 'P 4/m m m'
_space_group_IT_number 123
_space_group_name_Hall '-P 4 2'
_cell_length_a 4.7172
_cell_length_b 4.7172
_cell_length_c 4.8972
_cell_angle_alpha 90.00
_cell_angle_beta 90.00
_cell_angle_gamma 90.00
loop_
_atom_site_label
_atom_site_type_symbol
_atom_site_fract_x
_atom_site_fract_y
_atom_site_fract_z
_atom_site_occupancy
La1 La 0.0000 0.0000 0.0000 1
P1 P 0.0000 0.5000 0.5000 1
W1 W 0.5000 0.5000 0.5000 1
Cl1 Cl 0.5000 0.5000 0.0000 1
# * uncorrected formation energy: -0.46 eV/atom

=====

# SiHAu, relaxed, DFT GGA-PBE
data_SiHAu
_space_group_name_H-M_alt 'C 1 m 1'
_space_group_IT_number 8
_cell_length_a 9.4316
_cell_length_b 2.8384
_cell_length_c 4.1055
_cell_angle_alpha 90.00
_cell_angle_beta 115.38
_cell_angle_gamma 90.00
loop_
_space_group_symop_operation_xyz
'x,y,z'
'x,-y,z'
'x+1/2,y+1/2,z'
'x+1/2,-y+1/2,z'
loop_
_atom_site_label
_atom_site_type_symbol
_atom_site_fract_x
_atom_site_fract_y
_atom_site_fract_z
_atom_site_occupancy
Si1 Si 0.0000 0.0000 0.0000 1
H1 H 0.1794 0.0000 0.1762 1
Au1 Au 0.4398 0.0000 0.4408 1
# * uncorrected energy: -3.944 eV/atom

=====

# HoEr3Pb3, relaxed, DFT GGA-PBE
data_HoEr3Pb3
_space_group_name_H-M_alt 'R -3'
_space_group_IT_number 148
_space_group_name_Hall '-R 3'
_cell_length_a 9.1198
_cell_length_b 9.1198
_cell_length_c 18.2629
_cell_angle_alpha 90.00
_cell_angle_beta 90.00
_cell_angle_gamma 120.00
loop_
_atom_site_label
_atom_site_type_symbol
_atom_site_fract_x
_atom_site_fract_y
_atom_site_fract_z
_atom_site_occupancy
Ho1 Ho 0.0000 0.0000 0.1693 1
Er1 Er 0.0012 0.7504 0.5852 1
Pb1 Pb 0.0046 0.3944 0.5814 1
# * formation energy: -0.326 eV/atom

=====

# NaLa3Os, relaxed, DFT GGA-PBE
data_NaLa3Os
_space_group_name_H-M_alt 'P 63/m m c'
_space_group_IT_number 194
_space_group_name_Hall '-P 6c 2c'
_cell_length_a 4.5435
_cell_length_b 4.5435
_cell_length_c 19.9997
_cell_angle_alpha 90.00
_cell_angle_beta 90.00
_cell_angle_gamma 120.00
loop_
_atom_site_label
_atom_site_type_symbol
_atom_site_fract_x
_atom_site_fract_y
_atom_site_fract_z
_atom_site_occupancy
Na1 Na 0.0000 0.0000 0.0000 1
La1 La 0.0000 0.0000 0.2500 1
La2 La 0.3333 0.6667 0.1377 1
Os1 Os 0.3333 0.6667 0.7500 1
# * formation energy: 0.239 eV/atom

=====

# PmY2HoEr5, relaxed, DFT GGA-PBE
data_PmY2HoEr5
_space_group_name_H-M_alt 'C m c 21'
_space_group_IT_number 36
_cell_length_a 5.5885
_cell_length_b 19.6378
_cell_length_c 10.5588
_cell_angle_alpha 90.00
_cell_angle_beta 90.00
_cell_angle_gamma 90.00
loop_
_space_group_symop_operation_xyz
'x,y,z'
'-x,-y,z+1/2'
'-x,y,z'
'x,-y,z+1/2'
'x+1/2,y+1/2,z'
'-x+1/2,-y+1/2,z+1/2'
'-x+1/2,y+1/2,z'
'x+1/2,-y+1/2,z+1/2'
loop_
_atom_site_label
_atom_site_type_symbol
_atom_site_fract_x
_atom_site_fract_y
_atom_site_fract_z
_atom_site_occupancy
Pm1 Pm 0.0000 0.0836 0.0000 1
Y1 Y 0.0000 0.3869 0.8645 1
Y2 Y 0.0000 0.3898 0.2798 1
Ho1 Ho 0.0000 0.2987 0.5564 1
Er1 Er 0.0000 0.0209 0.2819 1
Er2 Er 0.0000 0.1107 0.5668 1
Er3 Er 0.0000 0.2015 0.2539 1
Er4 Er 0.0000 0.2174 0.8557 1
Er5 Er 0.0000 0.4807 0.5705 1
# * formation energy: 0.157 eV/atom

=====

# SbPI2F, relaxed, DFT GGA-PBE
data_SbPI2F
_space_group_name_H-M_alt 'P 4/m m m'
_space_group_IT_number 123
_space_group_name_Hall '-P 4 2'
_cell_length_a 5.3880
_cell_length_b 5.3880
_cell_length_c 5.2626
_cell_angle_alpha 90.00
_cell_angle_beta 90.00
_cell_angle_gamma 90.00
loop_
_atom_site_label
_atom_site_type_symbol
_atom_site_fract_x
_atom_site_fract_y
_atom_site_fract_z
_atom_site_occupancy
Sb1 Sb 0.0000 0.0000 0.0000 1
P1 P 0.0000 0.0000 0.5000 1
I1 I 0.0000 0.5000 0.5000 1
F1 F 0.5000 0.5000 0.0000 1
# * uncorrected formation energy: 0.23 eV/atom

=====

Number 1: magnetization 0.39 μB/atom. Number 2: magnetization 0.00 μB/atom. Number 3: magnetization 0.00 μB/atom. Number 4: magnetization 0.79 μB/atom. Number 5: magnetization 0.00 μB/atom. Number 6: magnetization 0.36 μB/atom. Number 7: magnetization 0.92 μB/atom. Number 8: magnetization 0.40 μB/atom. Number 9: magnetization 0.30 μB/atom. Number 10: magnetization 0.11 μB/atom. Number 11: magnetization 0.00 μB/atom. Number 12: magnetization 0.00 μB/atom. Number 13: magnetization 1.03 μB/atom. Number 14: magnetization 0.01 μB/atom. Number 15: magnetization 0.00 μB/atom. Number 16: magnetization 0.00 μB/atom. Number 17: magnetization 0.00 μB/atom. Number 18: magnetization 0.00 μB/atom. Number 19: magnetization 0.00 μB/atom. Number 20: magnetization 0.00 μB/atom.